No. 1
# ErHg2Pd | Alexandria | PBE-GGA | optimized geometry
data_ErHg2Pd
_chemical_formula_sum 'Er1 Hg2 Pd1'
_cell_length_a 4.9113
_cell_length_b 4.9113
_cell_length_c 4.9113
_cell_angle_alpha 60.00
_cell_angle_beta 60.00
_cell_angle_gamma 60.00
_space_group_name_H-M_alt 'P 1'
_space_group_IT_number 1
loop_
_space_group_symop_operation_xyz
'x,y,z'
loop_
_atom_site_label
_atom_site_fract_x
_atom_site_fract_y
_atom_site_fract_z
Er1 0.0000 0.0000 0.0000
Hg1 0.2500 0.2500 0.2500
Hg2 0.7500 0.7500 0.7500
Pd1 0.5000 0.5000 0.5000
# Symmetry = No. 225

---

No. 2
# ZnCu6Pt2 | Alexandria | PBE-GGA | optimized geometry
data_ZnCu6Pt2
_chemical_formula_sum 'Zn1 Cu6 Pt2'
_cell_length_a 4.9379
_cell_length_b 4.9289
_cell_length_c 4.9289
_cell_angle_alpha 95.05
_cell_angle_beta 85.03
_cell_angle_gamma 85.03
_space_group_name_H-M_alt 'P 1'
_space_group_IT_number 1
loop_
_space_group_symop_operation_xyz
'x,y,z'
loop_
_atom_site_label
_atom_site_fract_x
_atom_site_fract_y
_atom_site_fract_z
Cu1 0.5000 0.8322 0.1678
Cu2 0.8323 0.8322 0.5000
Cu3 0.1677 0.5000 0.1678
Cu4 0.1677 0.1678 0.5000
Cu5 0.8323 0.5000 0.8322
Cu6 0.5000 0.1678 0.8322
Zn1 0.0000 0.0000 0.0000
Pt1 0.3255 0.6744 0.6744
Pt2 0.6745 0.3256 0.3256
# Symmetry = No. 166
# Excess energy over the best structure of this formula in the dataset = 0.00 eV/f.u.

---

No. 3
# TmMgNi | Alexandria | PBE-GGA | optimized geometry
data_TmMgNi
_chemical_formula_sum 'Tm1 Mg1 Ni1'
_cell_length_a 4.5159
_cell_length_b 4.5159
_cell_length_c 4.5159
_cell_angle_alpha 60.00
_cell_angle_beta 60.00
_cell_angle_gamma 60.00
_space_group_name_H-M_alt 'P 1'
_space_group_IT_number 1
loop_
_space_group_symop_operation_xyz
'x,y,z'
loop_
_atom_site_label
_atom_site_fract_x
_atom_site_fract_y
_atom_site_fract_z
Tm1 0.5000 0.5000 0.5000
Ni1 0.2500 0.2500 0.2500
Mg1 0.0000 0.0000 0.0000
# Symmetry = No. 216

---

No. 4
# Sr2Mg4InHg3 | Alexandria | PBE-GGA | optimized geometry
data_Sr2Mg4InHg3
_chemical_formula_sum 'Sr2 Mg4 In1 Hg3'
_cell_length_a 4.6860
_cell_length_b 4.6860
_cell_length_c 12.4264
_cell_angle_alpha 90.00
_cell_angle_beta 90.00
_cell_angle_gamma 90.00
_space_group_name_H-M_alt 'P 1'
_space_group_IT_number 1
loop_
_space_group_symop_operation_xyz
'x,y,z'
loop_
_atom_site_label
_atom_site_fract_x
_atom_site_fract_y
_atom_site_fract_z
Hg1 0.0000 0.0000 0.5000
Hg2 0.5000 0.0000 0.8600
Hg3 0.0000 0.5000 0.1400
Sr1 0.0000 0.5000 0.7473
Sr2 0.5000 0.0000 0.2527
Mg1 0.0000 0.0000 0.0000
Mg2 0.0000 0.5000 0.3637
Mg3 0.5000 0.0000 0.6363
Mg4 0.5000 0.5000 0.0000
In1 0.5000 0.5000 0.5000
# Symmetry = No. 115

---

No. 5
# Cu2RePt | Alexandria | PBE-GGA | optimized geometry
data_Cu2RePt
_chemical_formula_sum 'Cu2 Re1 Pt1'
_cell_length_a 4.6355
_cell_length_b 4.6355
_cell_length_c 4.6355
_cell_angle_alpha 131.47
_cell_angle_beta 131.47
_cell_angle_gamma 71.07
_space_group_name_H-M_alt 'P 1'
_space_group_IT_number 1
loop_
_space_group_symop_operation_xyz
'x,y,z'
loop_
_atom_site_label
_atom_site_fract_x
_atom_site_fract_y
_atom_site_fract_z
Cu1 0.0000 0.0000 0.0000
Cu2 0.2500 0.7500 0.5000
Pt1 0.5000 0.5000 0.0000
Re1 0.7500 0.2500 0.5000
# Symmetry = No. 119
# Excess energy over the best structure of this formula in the dataset = 0.77 eV/f.u.

---

No. 6
# Nd3YTl2S | Alexandria | PBE-GGA | optimized geometry
data_Nd3YTl2S
_chemical_formula_sum 'Nd3 Y1 Tl2 S1'
_cell_length_a 5.1387
_cell_length_b 5.2822
_cell_length_c 8.9751
_cell_angle_alpha 107.11
_cell_angle_beta 106.64
_cell_angle_gamma 90.00
_space_group_name_H-M_alt 'P 1'
_space_group_IT_number 1
loop_
_space_group_symop_operation_xyz
'x,y,z'
loop_
_atom_site_label
_atom_site_fract_x
_atom_site_fract_y
_atom_site_fract_z
S1 0.0000 0.0000 0.0000
Nd1 0.1734 0.1734 0.3467
Nd2 0.8266 0.8266 0.6533
Nd3 0.0000 0.5000 0.0000
Tl1 0.6302 0.6302 0.2605
Tl2 0.3698 0.3698 0.7395
Y1 0.5000 0.0000 0.0000
# Symmetry = No. 71
# E_form (uncorrected) = -0.6899 eV per atom

---

No. 7
# ThMg2TlSn | Alexandria | PBE-GGA | optimized geometry
data_ThMg2TlSn
_chemical_formula_sum 'Th2 Mg4 Tl2 Sn2'
_cell_length_a 4.2545
_cell_length_b 8.3676
_cell_length_c 8.2832
_cell_angle_alpha 90.00
_cell_angle_beta 90.00
_cell_angle_gamma 104.73
_space_group_name_H-M_alt 'P 1'
_space_group_IT_number 1
loop_
_space_group_symop_operation_xyz
'x,y,z'
loop_
_atom_site_label
_atom_site_fract_x
_atom_site_fract_y
_atom_site_fract_z
Sn1 0.7481 0.4962 0.7500
Sn2 0.2519 0.5038 0.2500
Mg1 0.1742 0.3483 0.5635
Mg2 0.8258 0.6517 0.0635
Mg3 0.1742 0.3483 0.9365
Mg4 0.8258 0.6517 0.4365
Tl1 0.0000 0.0000 0.5000
Tl2 0.0000 0.0000 0.0000
Th1 0.5931 0.1863 0.2500
Th2 0.4069 0.8137 0.7500
# Symmetry = No. 63

---

No. 8
# ZnTc2Br | Alexandria | PBE-GGA | optimized geometry
data_ZnTc2Br
_chemical_formula_sum 'Zn1 Tc2 Br1'
_cell_length_a 3.3133
_cell_length_b 3.3133
_cell_length_c 6.5551
_cell_angle_alpha 90.00
_cell_angle_beta 90.00
_cell_angle_gamma 90.00
_space_group_name_H-M_alt 'P 1'
_space_group_IT_number 1
loop_
_space_group_symop_operation_xyz
'x,y,z'
loop_
_atom_site_label
_atom_site_fract_x
_atom_site_fract_y
_atom_site_fract_z
Tc1 0.0000 0.0000 0.4235
Tc2 0.0000 0.0000 0.0765
Zn1 0.5000 0.5000 0.2500
Br1 0.5000 0.5000 0.7500
# Symmetry = No. 123
# Excess energy over the best structure of this formula in the dataset = 1.97 eV/f.u.
# E_form (uncorrected) = 0.6428 eV per atom

---

No. 9
# Rb2CeSbSe4 | Alexandria | PBE-GGA | optimized geometry
data_Rb2CeSbSe4
_chemical_formula_sum 'Rb4 Ce2 Sb2 Se8'
_cell_length_a 9.0157
_cell_length_b 9.0157
_cell_length_c 8.9895
_cell_angle_alpha 119.90
_cell_angle_beta 119.90
_cell_angle_gamma 89.70
_space_group_name_H-M_alt 'P 1'
_space_group_IT_number 1
loop_
_space_group_symop_operation_xyz
'x,y,z'
loop_
_atom_site_label
_atom_site_fract_x
_atom_site_fract_y
_atom_site_fract_z
Ce1 0.0000 0.5000 0.0000
Ce2 0.0000 0.5000 0.5000
Se1 0.2342 0.2658 0.0357
Se2 0.1991 0.7354 0.9673
Se3 0.7658 0.7342 0.9643
Se4 0.7658 0.7343 0.5357
Se5 0.7645 0.3009 0.5327
Se6 0.8009 0.2646 0.0327
Se7 0.2354 0.6991 0.4673
Se8 0.2342 0.2657 0.4643
Sb1 0.5000 0.5000 0.5000
Sb2 0.0000 0.0000 0.0000
Rb1 0.0000 0.0000 0.5000
Rb2 0.5000 0.5000 0.0000
Rb3 0.5000 0.0000 0.5000
Rb4 0.5000 0.0000 0.0000
# Symmetry = No. 74
# E_form (uncorrected) = -1.1378 eV per atom

---

No. 10
# PdRhS3 | Alexandria | PBE-GGA | optimized geometry
data_PdRhS3
_chemical_formula_sum 'Pd1 Rh1 S3'
_cell_length_a 4.7828
_cell_length_b 4.7828
_cell_length_c 4.7828
_cell_angle_alpha 85.21
_cell_angle_beta 85.21
_cell_angle_gamma 85.21
_space_group_name_H-M_alt 'P 1'
_space_group_IT_number 1
loop_
_space_group_symop_operation_xyz
'x,y,z'
loop_
_atom_site_label
_atom_site_fract_x
_atom_site_fract_y
_atom_site_fract_z
S1 0.1712 0.1712 0.7031
S2 0.1712 0.7031 0.1712
S3 0.7031 0.1712 0.1712
Pd1 0.8450 0.8450 0.8450
Rh1 0.2346 0.2346 0.2346
# Symmetry = No. 160
# Excess energy over the best structure of this formula in the dataset = 0.00 eV/f.u.
# E_form (uncorrected) = 0.1914 eV per atom

---

No. 11
# TcTeOs2 | Alexandria | PBE-GGA | optimized geometry
data_TcTeOs2
_chemical_formula_sum 'Tc1 Te1 Os2'
_cell_length_a 2.8393
_cell_length_b 2.8393
_cell_length_c 9.6308
_cell_angle_alpha 90.00
_cell_angle_beta 90.00
_cell_angle_gamma 118.60
_space_group_name_H-M_alt 'P 1'
_space_group_IT_number 1
loop_
_space_group_symop_operation_xyz
'x,y,z'
loop_
_atom_site_label
_atom_site_fract_x
_atom_site_fract_y
_atom_site_fract_z
Tc1 0.5000 0.5000 0.2500
Os1 0.0000 0.0000 0.4755
Os2 0.0000 0.0000 0.0245
Te1 0.5000 0.5000 0.7500
# Symmetry = No. 65
# Excess energy over the best structure of this formula in the dataset = 1.63 eV/f.u.
# E_form (uncorrected) = 0.9805 eV per atom

---

No. 12
# ScGeAsBr2 | Alexandria | PBE-GGA | optimized geometry
data_ScGeAsBr2
_chemical_formula_sum 'Sc1 Ge1 As1 Br2'
_cell_length_a 5.1018
_cell_length_b 5.1018
_cell_length_c 5.5143
_cell_angle_alpha 90.00
_cell_angle_beta 90.00
_cell_angle_gamma 90.00
_space_group_name_H-M_alt 'P 1'
_space_group_IT_number 1
loop_
_space_group_symop_operation_xyz
'x,y,z'
loop_
_atom_site_label
_atom_site_fract_x
_atom_site_fract_y
_atom_site_fract_z
Br1 0.0000 0.5000 0.0000
Br2 0.5000 0.0000 0.0000
As1 0.0000 0.0000 0.5000
Sc1 0.0000 0.0000 0.0000
Ge1 0.5000 0.5000 0.5000
# Symmetry = No. 123
# Excess energy over the best structure of this formula in the dataset = 0.00 eV/f.u.
# E_form (uncorrected) = -0.3099 eV per atom

---

no.,spin magnetization (μB per atom),total energy (eV/atom)
1,0.0000,-3.036
2,0.0000,-4.334
3,0.0000,-4.117
4,0.0000,-1.653
5,0.0012,-6.454
6,0.0000,-4.922
7,0.0000,-3.436
8,0.0007,-5.277
9,0.1102,-4.379
10,0.0000,-4.794
11,0.0000,-8.011
12,0.0001,-4.099